A plane-wave DFT calculation with PBE was carried out for a geometry-optimized PrNpCo10 structure.

Geometry as CIF:
```
data_PrNpCo10
_chemical_formula_sum 'Pr1 Np1 Co10'
_cell_length_a 3.994
_cell_length_b 4.929
_cell_length_c 8.489
_cell_angle_alpha 90.00
_cell_angle_beta 90.00
_cell_angle_gamma 90.00
_symmetry_space_group_name_H-M 'P m m m'
_symmetry_Int_Tables_number 47
_symmetry_space_group_name_Hall '-P 2 2'
loop_
_atom_site_label
_atom_site_fract_x
_atom_site_fract_y
_atom_site_fract_z
Pr1 0.000 0.000 0.000
Np1 0.000 0.500 0.500
Co1 0.000 0.000 0.347
Co2 0.000 0.500 0.195
Co3 0.500 0.000 0.500
Co4 0.500 0.251 0.255
Co5 0.500 0.500 0.000
```

Calculated values
Its energy relative to the elements is -0.029 eV per atom. The calculation puts the density of states at the Fermi level at 17.77 states/eV per cell. The value obtained for the total energy is -7.427 eV per atom. The size of the total moment comes out at 9.89 μB/f.u.

=====

A plane-wave DFT calculation with PBE was carried out for a geometry-optimized Ba2BIrOs structure.

Geometry as CIF:
```
data_Ba2BIrOs
_chemical_formula_sum 'Ba2 B1 Ir1 Os1'
_cell_length_a 6.023
_cell_length_b 6.023
_cell_length_c 4.651
_cell_angle_alpha 90.00
_cell_angle_beta 90.00
_cell_angle_gamma 90.00
_symmetry_space_group_name_H-M 'P 4/m m m'
_symmetry_Int_Tables_number 123
_symmetry_space_group_name_Hall '-P 4 2'
loop_
_atom_site_label
_atom_site_fract_x
_atom_site_fract_y
_atom_site_fract_z
Ba1 0.000 0.500 0.000
B1 0.000 0.000 0.500
Ir1 0.500 0.500 0.500
Os1 0.500 0.500 0.000
```

Calculated values
Its energy relative to the elements is 1.282 eV per atom. The calculation puts the density of states at the Fermi level at 5.48 states/eV per cell. The value obtained for the total energy is -4.840 eV per atom. The size of the total moment comes out at 0.00 μB/f.u.

=====

A plane-wave DFT calculation with PBE was carried out for a geometry-optimized ZrAlZnCo structure.

Geometry as CIF:
```
data_ZrAlZnCo
_chemical_formula_sum 'Zr4 Al4 Zn4 Co4'
_cell_length_a 6.228
_cell_length_b 6.228
_cell_length_c 6.228
_cell_angle_alpha 90.00
_cell_angle_beta 90.00
_cell_angle_gamma 90.00
_symmetry_space_group_name_H-M 'F -4 3 m'
_symmetry_Int_Tables_number 216
_symmetry_space_group_name_Hall 'F -4 2 3'
loop_
_atom_site_label
_atom_site_fract_x
_atom_site_fract_y
_atom_site_fract_z
Zr1 0.000 0.000 0.000
Al1 0.000 0.000 0.500
Zn1 0.250 0.250 0.250
Co1 0.250 0.250 0.750
```

Calculated values
Its energy relative to the elements is -0.378 eV per atom. The calculation puts the density of states at the Fermi level at 6.20 states/eV per cell. The value obtained for the total energy is -5.545 eV per atom. The size of the total moment comes out at 0.00 μB/f.u.

=====

A plane-wave DFT calculation with PBE was carried out for a geometry-optimized RbTbGeI6 structure.

Geometry as CIF:
```
data_RbTbGeI6
_chemical_formula_sum 'Rb1 Tb1 Ge1 I6'
_cell_length_a 7.8715
_cell_length_b 7.8715
_cell_length_c 8.1871
_cell_angle_alpha 90.00
_cell_angle_beta 90.00
_cell_angle_gamma 120.00
_symmetry_space_group_name_H-M 'P 3 1 2'
_symmetry_Int_Tables_number 149
_symmetry_space_group_name_Hall 'P 3 2'
loop_
_atom_site_label
_atom_site_fract_x
_atom_site_fract_y
_atom_site_fract_z
Rb1 0.0000 0.0000 0.0000
Tb1 0.6667 0.3333 0.5000
Ge1 0.3333 0.6667 0.5000
I1 0.0021 0.3725 0.7142
```

Calculated values
The calculation puts the formation energy without anion corrections at -1068 meV per atom. The calculation puts the density of states at the Fermi level at 0.00 states/eV per cell. The value obtained for the total energy is -3.236 eV per atom. The size of the total moment comes out at 0.00 μB/f.u.

=====

A plane-wave DFT calculation with PBE was carried out for a geometry-optimized BePd3Pt structure.

Geometry as CIF:
```
data_BePd3Pt
_chemical_formula_sum 'Be1 Pd3 Pt1'
_cell_length_a 4.193
_cell_length_b 4.193
_cell_length_c 4.193
_cell_angle_alpha 90.00
_cell_angle_beta 90.00
_cell_angle_gamma 90.00
_symmetry_space_group_name_H-M 'P m -3 m'
_symmetry_Int_Tables_number 221
_symmetry_space_group_name_Hall '-P 4 2 3'
loop_
_atom_site_label
_atom_site_fract_x
_atom_site_fract_y
_atom_site_fract_z
Be1 0.000 0.000 0.000
Pd1 0.000 0.000 0.500
Pt1 0.500 0.500 0.500
```

Calculated values
As for the energy relative to the lowest polymorph listed for this composition: 271.4 meV per atom. Its energy relative to the elements is 0.065 eV per atom. The calculation puts the density of states at the Fermi level at 3.33 states/eV per cell. The value obtained for the total energy is -5.004 eV per atom. The size of the total moment comes out at 0.00 μB/f.u.

=====

A plane-wave DFT calculation with PBE was carried out for a geometry-optimized ReTcSb2 structure.

Geometry as CIF:
```
data_ReTcSb2
_chemical_formula_sum 'Re2 Tc2 Sb4'
_cell_length_a 3.251
_cell_length_b 5.398
_cell_length_c 8.594
_cell_angle_alpha 90.00
_cell_angle_beta 90.00
_cell_angle_gamma 90.00
_symmetry_space_group_name_H-M 'C m m m'
_symmetry_Int_Tables_number 65
_symmetry_space_group_name_Hall '-C 2 2'
loop_
_atom_site_label
_atom_site_fract_x
_atom_site_fract_y
_atom_site_fract_z
Re1 0.000 0.000 0.000
Tc1 0.000 0.000 0.500
Sb1 0.000 0.500 0.252
```

Calculated values
As for the energy relative to the lowest polymorph listed for this composition: 651.6 meV per atom. The calculation puts the formation energy without anion corrections at 792 meV per atom. The calculation puts the density of states at the Fermi level at 6.75 states/eV per cell. The value obtained for the total energy is -6.973 eV per atom. The size of the total moment comes out at 0.00 μB/f.u.

=====

A plane-wave DFT calculation with PBE was carried out for a geometry-optimized CaY4Ho3Se8 structure.

Geometry as CIF:
```
data_CaY4Ho3Se8
_chemical_formula_sum 'Ca3 Y12 Ho9 Se24'
_cell_length_a 8.1650
_cell_length_b 8.1650
_cell_length_c 20.0468
_cell_angle_alpha 90.00
_cell_angle_beta 90.00
_cell_angle_gamma 120.00
_symmetry_space_group_name_H-M 'R -3 m'
_symmetry_Int_Tables_number 166
_symmetry_space_group_name_Hall '-R 3 2"'
loop_
_atom_site_label
_atom_site_fract_x
_atom_site_fract_y
_atom_site_fract_z
Ca1 0.0000 0.0000 0.0000
Y1 0.0000 0.0000 0.5000
Y2 0.0000 0.5000 0.5000
Ho1 0.0000 0.5000 0.0000
Se1 0.0000 0.0000 0.2510
Se2 0.0014 0.5007 0.2507
```

Calculated values
The calculation puts the formation energy without anion corrections at -1772 meV per atom. The calculation puts the density of states at the Fermi level at 24.76 states/eV per cell. The value obtained for the total energy is -6.114 eV per atom. The size of the total moment comes out at 0.00 μB/f.u.

=====

A plane-wave DFT calculation with PBE was carried out for a geometry-optimized Pu2PaGe structure.

Geometry as CIF:
```
data_Pu2PaGe
_chemical_formula_sum 'Pu2 Pa1 Ge1'
_cell_length_a 3.816
_cell_length_b 3.816
_cell_length_c 6.235
_cell_angle_alpha 90.00
_cell_angle_beta 90.00
_cell_angle_gamma 90.00
_symmetry_space_group_name_H-M 'P 4/m m m'
_symmetry_Int_Tables_number 123
_symmetry_space_group_name_Hall '-P 4 2'
loop_
_atom_site_label
_atom_site_fract_x
_atom_site_fract_y
_atom_site_fract_z
Pu1 0.000 0.000 0.230
Pa1 0.500 0.500 0.500
Ge1 0.500 0.500 0.000
```

Calculated values
As for the energy relative to the lowest polymorph listed for this composition: 19.3 meV per atom. Its energy relative to the elements is -0.230 eV per atom. The calculation puts the density of states at the Fermi level at 11.15 states/eV per cell. The value obtained for the total energy is -10.924 eV per atom. The size of the total moment comes out at 11.20 μB/f.u.

=====

A plane-wave DFT calculation with PBE was carried out for a geometry-optimized Ca2F structure.

Geometry as CIF:
```
data_Ca2F
_chemical_formula_sum 'Ca20 F10'
_cell_length_a 28.090
_cell_length_b 3.947
_cell_length_c 7.869
_cell_angle_alpha 90.00
_cell_angle_beta 97.87
_cell_angle_gamma 90.00
_symmetry_space_group_name_H-M 'C 1 m 1'
_symmetry_Int_Tables_number 8
_symmetry_space_group_name_Hall 'C -2y'
loop_
_atom_site_label
_atom_site_fract_x
_atom_site_fract_y
_atom_site_fract_z
Ca1 0.000 0.000 0.000
Ca2 0.001 0.000 0.503
Ca3 0.094 0.500 0.298
Ca4 0.108 0.500 0.803
Ca5 0.200 0.000 0.103
Ca6 0.202 0.000 0.600
Ca7 0.297 0.500 0.401
Ca8 0.305 0.500 0.899
Ca9 0.395 0.000 0.202
Ca10 0.406 0.000 0.702
F1 0.046 0.000 0.273
F2 0.155 0.000 0.827
F3 0.250 0.000 0.367
F4 0.345 0.500 0.181
F5 0.454 0.500 0.727
```

Calculated values
The calculation puts the formation energy without anion corrections at -1846 meV per atom. The calculation puts the density of states at the Fermi level at 21.12 states/eV per cell. The value obtained for the total energy is -3.804 eV per atom. The size of the total moment comes out at 0.00 μB/f.u.

=====

A plane-wave DFT calculation with PBE was carried out for a geometry-optimized CePaAl2Ga5 structure.

Geometry as CIF:
```
data_CePaAl2Ga5
_chemical_formula_sum 'Ce1 Pa1 Al2 Ga5'
_cell_length_a 4.266
_cell_length_b 4.266
_cell_length_c 9.834
_cell_angle_alpha 90.00
_cell_angle_beta 90.00
_cell_angle_gamma 90.00
_symmetry_space_group_name_H-M 'P 4/m m m'
_symmetry_Int_Tables_number 123
_symmetry_space_group_name_Hall '-P 4 2'
loop_
_atom_site_label
_atom_site_fract_x
_atom_site_fract_y
_atom_site_fract_z
Ce1 0.000 0.000 0.000
Pa1 0.000 0.000 0.500
Al1 0.500 0.500 0.378
Ga1 0.000 0.500 0.229
Ga2 0.500 0.500 0.000
```

Calculated values
Its energy relative to the elements is -0.297 eV per atom. The calculation puts the density of states at the Fermi level at 10.05 states/eV per cell. The value obtained for the total energy is -4.524 eV per atom. The size of the total moment comes out at 1.13 μB/f.u.

=====

A plane-wave DFT calculation with PBE was carried out for a geometry-optimized K2AgGeI6 structure.

Geometry as CIF:
```
data_K2AgGeI6
_chemical_formula_sum 'K4 Ag2 Ge2 I12'
_cell_length_a 8.072
_cell_length_b 8.303
_cell_length_c 14.043
_cell_angle_alpha 90.00
_cell_angle_beta 124.94
_cell_angle_gamma 90.00
_symmetry_space_group_name_H-M 'P 1 21/c 1'
_symmetry_Int_Tables_number 14
_symmetry_space_group_name_Hall '-P 2ybc'
loop_
_atom_site_label
_atom_site_fract_x
_atom_site_fract_y
_atom_site_fract_z
K1 0.227 0.071 0.249
Ag1 0.000 0.000 0.500
Ge1 0.500 0.000 0.000
I1 0.166 0.202 0.958
I2 0.262 0.708 0.962
I3 0.334 0.007 0.752
```

Calculated values
The calculation puts the formation energy without anion corrections at -701 meV per atom. The calculation puts the density of states at the Fermi level at 6.45 states/eV per cell. The value obtained for the total energy is -2.598 eV per atom. The size of the total moment comes out at 0.00 μB/f.u.

=====

A plane-wave DFT calculation with PBE was carried out for a geometry-optimized Tb2NdTmHg4 structure.

Geometry as CIF:
```
data_Tb2NdTmHg4
_chemical_formula_sum 'Tb6 Nd3 Tm3 Hg12'
_cell_length_a 5.2867
_cell_length_b 5.2867
_cell_length_c 26.1424
_cell_angle_alpha 90.00
_cell_angle_beta 90.00
_cell_angle_gamma 120.00
_symmetry_space_group_name_H-M 'R -3 m'
_symmetry_Int_Tables_number 166
_symmetry_space_group_name_Hall '-R 3 2"'
loop_
_atom_site_label
_atom_site_fract_x
_atom_site_fract_y
_atom_site_fract_z
Tb1 0.0000 0.0000 0.2491
Nd1 0.0000 0.0000 0.0000
Tm1 0.0000 0.0000 0.5000
Hg1 0.0000 0.0000 0.1273
Hg2 0.0000 0.0000 0.3784
```

Calculated values
Its energy relative to the elements is -0.469 eV per atom. The calculation puts the density of states at the Fermi level at 26.43 states/eV per cell. The value obtained for the total energy is -2.933 eV per atom. The size of the total moment comes out at 0.93 μB/f.u.